No. 1
Computed, not measured: Pr6GeSb2Te3 after structural relaxation at the PBE level of DFT.

The value obtained for the uncorrected formation energy is -1.32 eV/atom.

The space group is C2/m (No. 12) and the conventional cell measures 19.760, 4.505 and 9.079 Å, with angles of 90.00, 103.62 and 90.00 degrees. Symmetry generates all atoms from Pr at (0.000, 0.000, 0.229), Pr at (0.157, 0.500, 0.083), Pr at (0.168, 0.500, 0.578), Ge at (0.000, 0.500, 0.000), Sb at (0.166, 0.000, 0.333), Te at (0.000, 0.500, 0.500) and Te at (0.170, 0.000, 0.835).



No. 2
Computed, not measured: Ti6HO3 after structural relaxation at the PBE level of DFT.

The total energy comes out at -246.53 eV per cell.

The space group is R3 (No. 146, hexagonal axes) and the conventional cell measures 5.2116, 5.2116 and 14.3750 Å, with angles of 90.00, 90.00 and 120.00 degrees. Symmetry generates all atoms from Ti at (0.0012, 0.6658, 0.0000), Ti at (0.0146, 0.3344, 0.1617), H at (0.0000, 0.0000, 0.7533), O at (0.0000, 0.0000, 0.0744), O at (0.0000, 0.0000, 0.2526) and O at (0.0000, 0.0000, 0.5809).